# LiCdNi2F8, optimized geometry, DFT GGA+U
# total energy = -4.023 eV/atom
# space-group type = C2/m, No. 12
# total magnetization = 5.02 μB/f.u.
# crystal system = monoclinic
data_LiCdNi2F8
_chemical_formula_sum 'Li1 Cd1 Ni2 F8'
_cell_length_a 4.863
_cell_length_b 4.863
_cell_length_c 6.269
_cell_angle_alpha 90.09
_cell_angle_beta 90.09
_cell_angle_gamma 87.37
_symmetry_space_group_name_H-M 'P 1'
_symmetry_Int_Tables_number 1
loop_
_symmetry_equiv_pos_as_xyz
'x,y,z'
loop_
_atom_site_label
_atom_site_type_symbol
_atom_site_fract_x
_atom_site_fract_y
_atom_site_fract_z
Li1 Li 0.000 0.000 0.000
Cd1 Cd 0.000 0.000 0.500
Ni1 Ni 0.500 0.500 0.239
Ni2 Ni 0.500 0.500 0.761
F1 F 0.213 0.786 0.769
F2 F 0.214 0.787 0.231
F3 F 0.314 0.314 0.000
F4 F 0.325 0.325 0.500
F5 F 0.675 0.675 0.500
F6 F 0.686 0.686 0.000
F7 F 0.786 0.213 0.769
F8 F 0.787 0.214 0.231